*a*
The following is a DFT calculation (PBE) of a relaxed structure of Co3WSe.

For the volume, the calculation gives 15.26 A^3/atom. The calculation puts the size of the total moment at 5.0 Bohr magnetons per cell.

The space group is Pm-3m (No. 221) and the conventional cell measures 4.241, 4.241 and 4.241 Å, with angles of 90.00, 90.00 and 90.00 degrees. Symmetry generates all atoms from Co at (0.000, 0.000, 0.500), W at (0.500, 0.500, 0.500) and Se at (0.000, 0.000, 0.000).


*b*
The following is a DFT calculation (PBE) of a relaxed structure of Co3WSe.

For the volume, the calculation gives 17.89 A^3/atom. The calculation puts the size of the total moment at 1.2 Bohr magnetons per cell.

The space group is Pm-3m (No. 221) and the conventional cell measures 4.472, 4.472 and 4.472 Å, with angles of 90.00, 90.00 and 90.00 degrees. Symmetry generates all atoms from Co at (0.000, 0.000, 0.500), W at (0.000, 0.000, 0.000) and Se at (0.500, 0.500, 0.500).


Most stable: *a* (next structure +38.9 kJ/mol of atoms)